# 1
Material: Tb19Pm4Er6
Method: DFT, GGA-PBE
State: relaxed

Cell: 12.4861 12.4861 12.4861 Å, 90.00 90.00 90.00°
Space group I23 (No. 197)
Inequivalent atoms, fractional coordinates:
1 Tb 0.0000 0.0000 0.0000
2 Tb 0.0000 0.0000 0.2622
3 Tb 0.0615 0.2648 0.2779
4 Pm 0.1799 0.1799 0.8201
5 Er 0.0000 0.3746 0.5000

Computed properties:
formation enthalpy at 0 K: 390 meV per atom
uncorrected energy: -0.31182 Ry/atom

---

# 2
Material: Tb6Pm8Er
Method: DFT, GGA-PBE
State: relaxed

Cell: 9.1415 9.1415 20.8559 Å, 90.00 90.00 120.00°
Space group R-3 (No. 148, hexagonal axes)
Inequivalent atoms, fractional coordinates:
1 Tb 0.0511 0.2462 0.2063
2 Pm 0.0000 0.0000 0.0776
3 Pm 0.0812 0.5563 0.3068
4 Er 0.0000 0.0000 0.5000

Computed properties:
energy above the most stable polymorph in this dataset: 0.000 eV/f.u.
formation enthalpy at 0 K: 120 meV per atom
uncorrected energy: -0.33588 Ry/atom

---

# 3
Material: Tb6PmEr
Method: DFT, GGA-PBE
State: relaxed

Cell: 5.0436 5.0436 10.0772 Å, 90.00 90.00 90.00°
Space group P4/mmm (No. 123)
Inequivalent atoms, fractional coordinates:
1 Tb 0.0000 0.0000 0.0000
2 Tb 0.0000 0.0000 0.5000
3 Tb 0.0000 0.5000 0.2477
4 Pm 0.5000 0.5000 0.5000
5 Er 0.5000 0.5000 0.0000

Computed properties:
energy above the most stable polymorph in this dataset: 0.000 eV/f.u.
formation enthalpy at 0 K: 21 meV per atom
uncorrected energy: -0.33929 Ry/atom